{"formula": "Fe2AsCl", "functional": "PBE", "state": "optimized geometry", "dft_energy_ev_per_atom": -5.8616, "spacegroup": "C2/m, No. 12", "total_magnetization_mub_per_atom": 1.30, "de_polymorph_kj_per_mol_atoms": 5.8, "crystal_system": "monoclinic", "raw_formation_energy_ev_per_atom": -0.006, "dos_ef_per_ev_fu": 2.64, "lattice": [[3.997, -1.539, 0.000], [3.997, 1.539, 0.000], [-3.767, 0.000, 5.816]], "species": ["Fe", "Fe", "As", "Cl"], "fractional_positions": [[0.208, 0.208, 0.343], [0.792, 0.792, 0.657], [0.000, 0.000, 0.500], [0.500, 0.500, 0.000]]}

=====

{"formula": "Fe3AsCl", "functional": "PBE", "state": "optimized geometry", "dft_energy_ev_per_atom": -5.6412, "spacegroup": "Pm-3m, No. 221", "total_magnetization_mub_per_atom": 2.00, "de_polymorph_kj_per_mol_atoms": 0.0, "crystal_system": "cubic", "raw_formation_energy_ev_per_atom": 0.736, "dos_ef_per_ev_fu": 6.34, "lattice": [[4.652, 0.000, 0.000], [0.000, 4.652, 0.000], [0.000, 0.000, 4.652]], "species": ["Fe", "Fe", "Fe", "As", "Cl"], "fractional_positions": [[0.000, 0.000, 0.500], [0.000, 0.500, 0.000], [0.500, 0.000, 0.000], [0.000, 0.000, 0.000], [0.500, 0.500, 0.500]]}

=====

{"formula": "Fe2AsCl", "functional": "PBE", "state": "optimized geometry", "dft_energy_ev_per_atom": -5.9149, "spacegroup": "Cm, No. 8", "total_magnetization_mub_per_atom": 1.32, "de_polymorph_kj_per_mol_atoms": 0.6, "crystal_system": "monoclinic", "raw_formation_energy_ev_per_atom": -0.060, "dos_ef_per_ev_fu": 1.79, "lattice": [[3.907, -1.530, 0.000], [3.907, 1.530, 0.000], [-3.161, 0.000, 7.096]], "species": ["Fe", "Fe", "As", "Cl"], "fractional_positions": [[0.000, 0.000, 0.000], [0.232, 0.232, 0.846], [0.468, 0.468, 0.725], [0.561, 0.561, 0.238]]}

=====

{"formula": "FeAsCl2", "functional": "PBE", "state": "optimized geometry", "dft_energy_ev_per_atom": -4.1712, "spacegroup": "P4/mmm, No. 123", "total_magnetization_mub_per_atom": 0.99, "de_polymorph_kj_per_mol_atoms": 25.4, "crystal_system": "tetragonal", "raw_formation_energy_ev_per_atom": 0.030, "dos_ef_per_ev_fu": 3.02, "lattice": [[2.965, 0.000, 0.000], [0.000, 2.965, 0.000], [0.000, 0.000, 11.189]], "species": ["Fe", "As", "Cl", "Cl"], "fractional_positions": [[0.000, 0.000, 0.000], [0.000, 0.000, 0.500], [0.500, 0.500, 0.136], [0.500, 0.500, 0.864]]}